Ga2AsP | meta-GGA SCAN | PBEsol geometry

Summary:
Formation enthalpy at 0 K = -0.425 eV per atom
Space group = R3m
Spin magnetization = 0.00 μB/atom

Unit cell a=3.9194 b=3.9194 c=6.7933 alpha=73.23 beta=73.23 gamma=60.00
Fractional positions:
P: 0.3749 0.3749 0.8753
As: 0.8752 0.8752 0.3743
Ga: 0.0026 0.0026 0.9923
Ga: 0.4973 0.4973 0.5080

ThSbTe | meta-GGA SCAN | PBEsol geometry

Summary:
DFT total energy = -57.898 eV per atom
Space group = P4/nmm
Spin magnetization = 0.00 μB/atom

Unit cell a=4.3789 b=4.3789 c=9.0497 alpha=90.00 beta=90.00 gamma=90.00
Fractional positions:
Sb: 0.0000 0.0000 0.0000
Sb: 0.5000 0.5000 0.0000
Te: 0.0000 0.5000 0.3685
Te: 0.5000 0.0000 0.6315
Th: 0.0000 0.5000 0.7324
Th: 0.5000 0.0000 0.2676

YCuAs3 | meta-GGA SCAN | PBEsol geometry

Summary:
Formation enthalpy at 0 K = 0.855 eV per atom
Space group = Pm-3m
Spin magnetization = 0.00 μB/atom

Unit cell a=5.2770 b=5.2770 c=5.2770 alpha=90.00 beta=90.00 gamma=90.00
Fractional positions:
Y: 0.0000 0.0000 0.0000
As: 0.0000 0.5000 0.0000
As: 0.0000 0.0000 0.5000
As: 0.5000 0.0000 0.0000
Cu: 0.5000 0.5000 0.5000